w.
Entry from OQMD via LeMat-Bulk: crystalline CdSnPO at its relaxed geometry (PBE). Values from VASP.

Structure (Quantum ESPRESSO input):
```
&SYSTEM
  ibrav = 0, nat = 8, ntyp = 4
/
ATOMIC_SPECIES
P 30.97 P.upf
Sn 118.71 Sn.upf
O 16.00 O.upf
Cd 112.41 Cd.upf
CELL_PARAMETERS angstrom
3.249 -3.249 0.000
3.249 3.249 0.000
0.000 0.000 8.690
ATOMIC_POSITIONS crystal
P 0.250 0.250 0.653
P 0.750 0.750 0.347
Sn 0.250 0.750 0.500
Sn 0.750 0.250 0.500
O 0.750 0.250 0.000
O 0.250 0.750 0.000
Cd 0.250 0.250 0.975
Cd 0.750 0.750 0.025
```

***

x.
Entry from OQMD via LeMat-Bulk: crystalline CdSnPO at its relaxed geometry (PBE). Values from VASP.

Structure (Quantum ESPRESSO input):
```
&SYSTEM
  ibrav = 0, nat = 8, ntyp = 4
/
ATOMIC_SPECIES
Sn 118.71 Sn.upf
O 16.00 O.upf
Cd 112.41 Cd.upf
P 30.97 P.upf
CELL_PARAMETERS angstrom
-2.557 1.926 2.148
-4.978 -3.345 -2.926
0.403 -4.718 4.709
ATOMIC_POSITIONS crystal
Sn 0.500 0.643 0.528
Sn 0.500 0.357 0.028
O 0.500 0.367 0.365
O 0.500 0.633 0.865
Cd 0.000 0.203 0.489
Cd 0.000 0.797 0.989
P 0.000 0.163 0.872
P 0.000 0.837 0.372
```

***

Short version: w is the least stable of them.

***

w.
Entry from OQMD via LeMat-Bulk: crystalline CdSnPO at its relaxed geometry (PBE). Values from VASP.

Structure (Quantum ESPRESSO input):
```
&SYSTEM
  ibrav = 0, nat = 8, ntyp = 4
/
ATOMIC_SPECIES
O 16.00 O.upf
Cd 112.41 Cd.upf
P 30.97 P.upf
Sn 118.71 Sn.upf
CELL_PARAMETERS angstrom
3.999 0.000 0.000
0.000 3.999 0.000
0.000 0.000 9.477
ATOMIC_POSITIONS crystal
O 0.000 0.000 0.000
O 0.500 0.500 0.000
Cd 0.000 0.000 0.500
Cd 0.500 0.500 0.500
P 0.000 0.500 0.686
P 0.500 0.000 0.314
Sn 0.000 0.500 0.119
Sn 0.500 0.000 0.881
```

***

x.
Entry from OQMD via LeMat-Bulk: crystalline CdSnPO at its relaxed geometry (PBE). Values from VASP.

Structure (Quantum ESPRESSO input):
```
&SYSTEM
  ibrav = 0, nat = 8, ntyp = 4
/
ATOMIC_SPECIES
Sn 118.71 Sn.upf
O 16.00 O.upf
P 30.97 P.upf
Cd 112.41 Cd.upf
CELL_PARAMETERS angstrom
-3.303 -1.907 1.826
0.700 -4.956 -3.911
3.807 -2.684 4.082
ATOMIC_POSITIONS crystal
Sn 0.500 0.785 0.961
Sn 0.500 0.215 0.461
O 0.000 0.318 0.396
O 0.000 0.682 0.896
P 0.500 0.181 0.874
P 0.500 0.819 0.374
Cd 0.000 0.662 0.523
Cd 0.000 0.338 0.023
```

***

Short version: w is the least stable of them.

***

w.
! TaCdPO (PBE, relaxed); values from VASP
! total moment	0.02	μB/atom
&SYSTEM
  ibrav = 0, nat = 8, ntyp = 4
/
ATOMIC_SPECIES
Cd 112.41 Cd.upf
Ta 180.95 Ta.upf
P 30.97 P.upf
O 16.00 O.upf
CELL_PARAMETERS angstrom
-0.629 -0.890 4.070
3.429 -2.448 -0.006
4.386 6.139 2.020
ATOMIC_POSITIONS crystal
Cd 0.000 0.500 0.098
Cd 0.500 0.000 0.902
Ta 0.500 0.500 0.500
Ta 0.000 0.000 0.500
P 0.000 0.500 0.668
P 0.500 0.000 0.332
O 0.500 0.500 0.000
O 0.000 0.000 0.000

***

x.
! TaCdPO (PBE, relaxed); values from VASP
! total moment	0.00	μB/atom
&SYSTEM
  ibrav = 0, nat = 8, ntyp = 4
/
ATOMIC_SPECIES
Cd 112.41 Cd.upf
P 30.97 P.upf
Ta 180.95 Ta.upf
O 16.00 O.upf
CELL_PARAMETERS angstrom
3.420 0.000 0.000
0.000 6.746 0.000
0.000 0.000 7.195
ATOMIC_POSITIONS crystal
Cd 0.000 0.293 0.058
Cd 0.000 0.707 0.558
P 0.000 0.343 0.443
P 0.000 0.657 0.943
Ta 0.500 0.904 0.995
Ta 0.500 0.096 0.495
O 0.500 0.041 0.758
O 0.500 0.959 0.258

***

Short version: w is the least stable of them.